Here is crystalline EuMgGa2 at its relaxed geometry from Alexandria via LeMat-Bulk. Energies are from PBE-GGA.

The structure belongs to space group P4/mmm (No. 123); the cell edges are 3.541, 3.541 and 7.147 Å and the angles 90.00°, 90.00° and 90.00°. The asymmetric unit holds Eu at (0.000, 0.000, 0.000), Mg at (0.000, 0.000, 0.500) and Ga at (0.500, 0.500, 0.294).

Here is crystalline Ca2CdPbO5 at its relaxed geometry from Alexandria via LeMat-Bulk. Energies are from PBE-GGA.

The structure belongs to space group Cmc2_1 (No. 36); the cell edges are 3.531, 13.403 and 11.576 Å and the angles 90.00°, 90.00° and 90.00°. The asymmetric unit holds Ca at (0.000, 0.091, 0.000), Ca at (0.000, 0.164, 0.568), Cd at (0.000, 0.247, 0.324), Pb at (0.000, 0.459, 0.774), O at (0.000, 0.075, 0.376), O at (0.000, 0.260, 0.978), O at (0.000, 0.306, 0.702), O at (0.000, 0.405, 0.369) and O at (0.000, 0.478, 0.105).

For the energy relative to the elements, uncorrected, the calculation gives -1775 meV/atom.

Here is crystalline Rb2TlIn4Ge3 at its relaxed geometry from Alexandria via LeMat-Bulk. Energies are from PBE-GGA.

The structure belongs to space group P-4m2 (No. 115); the cell edges are 5.066, 5.066 and 11.565 Å and the angles 90.00°, 90.00° and 90.00°. The asymmetric unit holds Rb at (0.000, 0.500, 0.246), Tl at (0.000, 0.000, 0.500), In at (0.000, 0.000, 0.000), In at (0.000, 0.500, 0.638), In at (0.500, 0.500, 0.000), Ge at (0.000, 0.500, 0.878) and Ge at (0.500, 0.500, 0.500).

Here is crystalline KZr2Pd at its relaxed geometry from Alexandria via LeMat-Bulk. Energies are from PBE-GGA.

The structure belongs to space group P2_1/m (No. 11); the cell edges are 3.709, 3.710 and 16.495 Å and the angles 90.00°, 90.16° and 90.00°. The asymmetric unit holds K at (0.245, 0.250, 0.125), Zr at (0.248, 0.250, 0.349), Zr at (0.251, 0.250, 0.539) and Pd at (0.253, 0.250, 0.719).

As for the excess energy over the best structure of this formula in the dataset: 0.0 meV/atom.

Here is crystalline Fe2OsRh at its relaxed geometry from Alexandria via LeMat-Bulk. Energies are from PBE-GGA.

The structure belongs to space group Pmmm (No. 47); the cell edges are 2.657, 3.658 and 5.310 Å and the angles 90.00°, 90.00° and 90.00°. The asymmetric unit holds Fe at (0.000, 0.000, 0.244), Os at (0.500, 0.500, 0.000) and Rh at (0.500, 0.500, 0.500).

As for the excess energy over the best structure of this formula in the dataset: 13.6 meV/atom.

Here is crystalline MgSiSn at its relaxed geometry from Alexandria via LeMat-Bulk. Energies are from PBE-GGA.

The structure belongs to space group Cm (No. 8); the cell edges are 6.288, 3.722 and 11.906 Å and the angles 90.00°, 99.88° and 90.00°. The asymmetric unit holds Mg at (0.000, 0.000, 0.000), Mg at (0.028, 0.500, 0.587), Si at (0.108, 0.500, 0.837), Si at (0.244, 0.000, 0.748), Sn at (0.307, 0.500, 0.390) and Sn at (0.403, 0.000, 0.193).

For the energy relative to the elements, uncorrected, the calculation gives 38 meV/atom. As for the excess energy over the best structure of this formula in the dataset: 22.7 meV/atom.

Here is crystalline Pu3UTl4O12 at its relaxed geometry from Alexandria via LeMat-Bulk. Energies are from PBE-GGA.

The structure belongs to space group Im-3m (No. 229); the cell edges are 8.664, 8.664 and 8.664 Å and the angles 90.00°, 90.00° and 90.00°. The asymmetric unit holds Pu at (0.000, 0.000, 0.500), U at (0.000, 0.000, 0.000), Tl at (0.250, 0.250, 0.250), O at (0.000, 0.000, 0.243) and O at (0.000, 0.250, 0.500).

For the energy relative to the elements, uncorrected, the calculation gives -2278 meV/atom.

Here is crystalline HfHRh3 at its relaxed geometry from Alexandria via LeMat-Bulk. Energies are from PBE-GGA.

The structure belongs to space group Pm-3m (No. 221); the cell edges are 4.818, 4.818 and 4.818 Å and the angles 90.00°, 90.00° and 90.00°. The asymmetric unit holds Hf at (0.000, 0.000, 0.000), H at (0.500, 0.500, 0.500) and Rh at (0.000, 0.000, 0.500).

As for the excess energy over the best structure of this formula in the dataset: 2181.6 meV/atom.

Number 1: final energy -0.355 Ry per atom. Number 2: final energy -0.403 Ry per atom. Number 3: final energy -0.219 Ry per atom. Number 4: final energy -0.442 Ry per atom. Number 5: final energy -0.645 Ry per atom. Number 6: final energy -0.267 Ry per atom. Number 7: final energy -0.620 Ry per atom. Number 8: final energy -0.410 Ry per atom.